Computed, not measured: HfHgSe2 after structural relaxation at the PBE level of DFT.

Results
density of states at the Fermi level = 0.0 states/eV/f.u.
uncorrected formation energy = -23.106 kcal/mol of atoms

```
data_HfHgSe2
_chemical_formula_sum 'Hf1 Hg1 Se2'
_cell_length_a 3.751
_cell_length_b 3.751
_cell_length_c 9.928
_cell_angle_alpha 90.80
_cell_angle_beta 99.94
_cell_angle_gamma 119.99
_space_group_name_H-M_alt 'P 1'
_space_group_IT_number 1
loop_
_space_group_symop_operation_xyz
'x,y,z'
loop_
_atom_site_label
_atom_site_fract_x
_atom_site_fract_y
_atom_site_fract_z
_atom_site_occupancy
Hf1 0.000 0.000 0.000 1
Hg1 0.006 0.492 0.500 1
Se1 0.437 0.724 0.163 1
Se2 0.563 0.276 0.837 1
```

=====

Computed, not measured: HfHg2Se after structural relaxation at the PBE level of DFT.

Results
density of states at the Fermi level = 0.9 states/eV/f.u.
uncorrected formation energy = -0.876 kcal/mol of atoms

```
data_HfHg2Se
_chemical_formula_sum 'Hf4 Hg8 Se4'
_cell_length_a 9.567
_cell_length_b 9.567
_cell_length_c 5.096
_cell_angle_alpha 90.00
_cell_angle_beta 90.00
_cell_angle_gamma 90.00
_space_group_name_H-M_alt 'I -4 2 d'
_space_group_IT_number 122
_space_group_name_Hall 'I -4 2bw'
loop_
_atom_site_label
_atom_site_fract_x
_atom_site_fract_y
_atom_site_fract_z
_atom_site_occupancy
Hf1 0.000 0.000 0.000 1
Hg1 0.160 0.250 0.125 1
Se1 0.000 0.000 0.500 1
```

=====

Computed, not measured: HfHgSe3 after structural relaxation at the PBE level of DFT.

Results
density of states at the Fermi level = 4.1 states/eV/f.u.
uncorrected formation energy = 16.093 kcal/mol of atoms

```
data_HfHgSe3
_chemical_formula_sum 'Hf1 Hg1 Se3'
_cell_length_a 5.114
_cell_length_b 5.114
_cell_length_c 5.114
_cell_angle_alpha 90.00
_cell_angle_beta 90.00
_cell_angle_gamma 90.00
_space_group_name_H-M_alt 'P m -3 m'
_space_group_IT_number 221
_space_group_name_Hall '-P 4 2 3'
loop_
_atom_site_label
_atom_site_fract_x
_atom_site_fract_y
_atom_site_fract_z
_atom_site_occupancy
Hf1 0.000 0.000 0.000 1
Hg1 0.500 0.500 0.500 1
Se1 0.000 0.500 0.500 1
```

=====

Computed, not measured: HfHgSe2 after structural relaxation at the PBE level of DFT.

Results
density of states at the Fermi level = 1.2 states/eV/f.u.
uncorrected formation energy = -18.433 kcal/mol of atoms

```
data_HfHgSe2
_chemical_formula_sum 'Hf4 Hg4 Se8'
_cell_length_a 3.530
_cell_length_b 30.879
_cell_length_c 3.961
_cell_angle_alpha 90.00
_cell_angle_beta 90.00
_cell_angle_gamma 90.00
_space_group_name_H-M_alt 'C m c m'
_space_group_IT_number 63
_space_group_name_Hall '-C 2c 2'
loop_
_atom_site_label
_atom_site_fract_x
_atom_site_fract_y
_atom_site_fract_z
_atom_site_occupancy
Hf1 0.000 0.187 0.250 1
Hg1 0.000 0.460 0.250 1
Se1 0.000 0.281 0.250 1
Se2 0.000 0.374 0.750 1
```

=====

Computed, not measured: HfHgSe2 after structural relaxation at the PBE level of DFT.

Results
density of states at the Fermi level = 0.0 states/eV/f.u.
uncorrected formation energy = -17.456 kcal/mol of atoms

```
data_HfHgSe2
_chemical_formula_sum 'Hf4 Hg4 Se8'
_cell_length_a 6.537
_cell_length_b 4.109
_cell_length_c 14.786
_cell_angle_alpha 90.00
_cell_angle_beta 90.00
_cell_angle_gamma 90.00
_space_group_name_H-M_alt 'P n m a'
_space_group_IT_number 62
loop_
_space_group_symop_operation_xyz
'x,y,z'
'-x,-y,-z'
'-x+1/2,-y,z+1/2'
'x+1/2,y,-z+1/2'
'x+1/2,-y+1/2,-z+1/2'
'-x+1/2,y+1/2,z+1/2'
'-x,y+1/2,-z'
'x,-y+1/2,z'
loop_
_atom_site_label
_atom_site_fract_x
_atom_site_fract_y
_atom_site_fract_z
_atom_site_occupancy
Hf1 0.022 0.250 0.120 1
Hg1 0.184 0.750 0.355 1
Se1 0.101 0.750 0.708 1
Se2 0.205 0.750 0.038 1
```

=====

Computed, not measured: HfHgSe2 after structural relaxation at the PBE level of DFT.

Results
density of states at the Fermi level = 2.9 states/eV/f.u.
uncorrected formation energy = -8.071 kcal/mol of atoms

```
data_HfHgSe2
_chemical_formula_sum 'Hf1 Hg1 Se2'
_cell_length_a 3.941
_cell_length_b 3.941
_cell_length_c 5.836
_cell_angle_alpha 90.00
_cell_angle_beta 90.00
_cell_angle_gamma 90.00
_space_group_name_H-M_alt 'P 4/m m m'
_space_group_IT_number 123
_space_group_name_Hall '-P 4 2'
loop_
_atom_site_label
_atom_site_fract_x
_atom_site_fract_y
_atom_site_fract_z
_atom_site_occupancy
Hf1 0.000 0.000 0.000 1
Hg1 0.500 0.500 0.500 1
Se1 0.000 0.000 0.500 1
Se2 0.500 0.500 0.000 1
```

=====

Computed, not measured: HfHgSe2 after structural relaxation at the PBE level of DFT.

Results
density of states at the Fermi level = 1.8 states/eV/f.u.
uncorrected formation energy = -5.465 kcal/mol of atoms

```
data_HfHgSe2
_chemical_formula_sum 'Hf1 Hg1 Se2'
_cell_length_a 4.849
_cell_length_b 4.849
_cell_length_c 3.506
_cell_angle_alpha 90.00
_cell_angle_beta 90.00
_cell_angle_gamma 90.00
_space_group_name_H-M_alt 'P 4/m m m'
_space_group_IT_number 123
_space_group_name_Hall '-P 4 2'
loop_
_atom_site_label
_atom_site_fract_x
_atom_site_fract_y
_atom_site_fract_z
_atom_site_occupancy
Hf1 0.000 0.000 0.000 1
Hg1 0.500 0.500 0.000 1
Se1 0.000 0.500 0.500 1
```

=====

Computed, not measured: HfHgSe2 after structural relaxation at the PBE level of DFT.

Results
density of states at the Fermi level = 1.7 states/eV/f.u.
uncorrected formation energy = 2.269 kcal/mol of atoms

```
data_HfHgSe2
_chemical_formula_sum 'Hf3 Hg3 Se6'
_cell_length_a 3.8923
_cell_length_b 3.8923
_cell_length_c 25.3078
_cell_angle_alpha 90.00
_cell_angle_beta 90.00
_cell_angle_gamma 120.00
_space_group_name_H-M_alt 'R -3 m'
_space_group_IT_number 166
_space_group_name_Hall '-R 3 2"'
loop_
_atom_site_label
_atom_site_fract_x
_atom_site_fract_y
_atom_site_fract_z
_atom_site_occupancy
Hf1 0.0000 0.0000 0.0000 1
Hg1 0.0000 0.0000 0.5000 1
Se1 0.0000 0.0000 0.0988 1
```

=====

Computed, not measured: HfHgSe2 after structural relaxation at the PBE level of DFT.

Results
density of states at the Fermi level = 0.0 states/eV/f.u.
uncorrected formation energy = -22.997 kcal/mol of atoms

```
data_HfHgSe2
_chemical_formula_sum 'Hf3 Hg3 Se6'
_cell_length_a 3.7553
_cell_length_b 3.7553
_cell_length_c 31.7743
_cell_angle_alpha 90.00
_cell_angle_beta 90.00
_cell_angle_gamma 120.00
_space_group_name_H-M_alt 'R -3 m'
_space_group_IT_number 166
_space_group_name_Hall '-R 3 2"'
loop_
_atom_site_label
_atom_site_fract_x
_atom_site_fract_y
_atom_site_fract_z
_atom_site_occupancy
Hf1 0.0000 0.0000 0.0000 1
Hg1 0.0000 0.0000 0.5000 1
Se1 0.0000 0.0000 0.3830 1
```

=====

Computed, not measured: HfHgSe2 after structural relaxation at the PBE level of DFT.

Results
density of states at the Fermi level = 0.0 states/eV/f.u.
uncorrected formation energy = -23.059 kcal/mol of atoms

```
data_HfHgSe2
_chemical_formula_sum 'Hf1 Hg1 Se2'
_cell_length_a 3.7529
_cell_length_b 3.7529
_cell_length_c 10.1219
_cell_angle_alpha 90.00
_cell_angle_beta 90.00
_cell_angle_gamma 120.00
_space_group_name_H-M_alt 'P 3 m 1'
_space_group_IT_number 156
loop_
_space_group_symop_operation_xyz
'x,y,z'
'-y,x-y,z'
'-x+y,-x,z'
'-y,-x,z'
'-x+y,y,z'
'x,x-y,z'
loop_
_atom_site_label
_atom_site_fract_x
_atom_site_fract_y
_atom_site_fract_z
_atom_site_occupancy
Hf1 0.0000 0.0000 0.0000 1
Hg1 0.3333 0.6667 0.4764 1
Se1 0.3333 0.6667 0.8437 1
Se2 0.6667 0.3333 0.1564 1
```

=====

Computed, not measured: HfSi2HgSe after structural relaxation at the PBE level of DFT.

Results
density of states at the Fermi level = 2.1 states/eV/f.u.
uncorrected formation energy = 17.726 kcal/mol of atoms

```
data_HfSi2HgSe
_chemical_formula_sum 'Hf1 Si2 Hg1 Se1'
_cell_length_a 4.884
_cell_length_b 4.884
_cell_length_c 4.995
_cell_angle_alpha 90.00
_cell_angle_beta 90.00
_cell_angle_gamma 90.00
_space_group_name_H-M_alt 'P 4/m m m'
_space_group_IT_number 123
_space_group_name_Hall '-P 4 2'
loop_
_atom_site_label
_atom_site_fract_x
_atom_site_fract_y
_atom_site_fract_z
_atom_site_occupancy
Hf1 0.000 0.000 0.000 1
Si1 0.000 0.500 0.500 1
Hg1 0.500 0.500 0.000 1
Se1 0.000 0.000 0.500 1
```

=====

Computed, not measured: HfSn2HgSe after structural relaxation at the PBE level of DFT.

Results
density of states at the Fermi level = 2.5 states/eV/f.u.
uncorrected formation energy = 0.370 kcal/mol of atoms

```
data_HfSn2HgSe
_chemical_formula_sum 'Hf1 Sn2 Hg1 Se1'
_cell_length_a 5.674
_cell_length_b 5.674
_cell_length_c 5.064
_cell_angle_alpha 90.00
_cell_angle_beta 90.00
_cell_angle_gamma 90.00
_space_group_name_H-M_alt 'P 4/m m m'
_space_group_IT_number 123
_space_group_name_Hall '-P 4 2'
loop_
_atom_site_label
_atom_site_fract_x
_atom_site_fract_y
_atom_site_fract_z
_atom_site_occupancy
Hf1 0.000 0.000 0.000 1
Sn1 0.000 0.500 0.000 1
Hg1 0.500 0.500 0.500 1
Se1 0.000 0.000 0.500 1
```